Entry 1:
ZnInAg3: relaxed, GGA-PBE.

a = 4.9077 Å, b = 4.9077 Å, c = 4.9077 Å
α = 90.00°, β = 90.00°, γ = 90.00°
Closest atoms and distances in Å follow each position.
Space group Pm-3m (No. 221)
One atom of each set of equivalent atoms:
Zn 0.0000 0.0000 0.0000 (multiplicity 1)  6 Ag 2.45
In 0.5000 0.5000 0.5000 (multiplicity 1)  12 Ag 3.47
Ag 0.0000 0.0000 0.5000 (multiplicity 3)  2 Zn 2.45

For the calculated total energy, the calculation gives -2.134 eV per atom. For the energy above the most stable polymorph in this dataset, the calculation gives 0.392 eV per atom.

---

Entry 2:
Zn2InAg3: relaxed, GGA-PBE.

a = 4.9952 Å, b = 8.6833 Å, c = 4.9672 Å
α = 90.00°, β = 90.00°, γ = 90.00°
Closest atoms and distances in Å follow each position.
Space group Pmmn (No. 59, origin choice 2)
One atom of each set of equivalent atoms:
Zn 0.2500 0.0871 0.0942 (multiplicity 4)  6 Ag 2.77-2.95, 3 Zn 2.83-3.07, 3 In 2.93-3.03
In 0.2500 0.7500 0.1033 (multiplicity 2)  6 Ag 2.90-2.97, 6 Zn 2.93-3.03
Ag 0.2500 0.2500 0.5731 (multiplicity 2)  4 Zn 2.77-2.95, 6 Ag 2.84-3.05, 2 In 2.97
Ag 0.2500 0.5763 0.6043 (multiplicity 4)  4 Zn 2.82-2.91, 6 Ag 2.84-3.05, 2 In 2.90-2.91

For the calculated total energy, the calculation gives -2.308 eV per atom. For the energy above the most stable polymorph in this dataset, the calculation gives 0.000 eV per atom.

---

Entry 3:
Zn2InAg: relaxed, GGA-PBE.

a = 3.6065 Å, b = 3.6065 Å, c = 5.6951 Å
α = 90.00°, β = 90.00°, γ = 90.00°
Closest atoms and distances in Å follow each position.
Space group P4/mmm (No. 123)
One atom of each set of equivalent atoms:
Zn 0.0000 0.0000 0.2306 (multiplicity 2)  1 Zn 2.63, 4 Ag 2.87
In 0.5000 0.5000 0.5000 (multiplicity 1)  2 Ag 2.85, 8 Zn 2.98
Ag 0.5000 0.5000 0.0000 (multiplicity 1)  2 In 2.85, 8 Zn 2.87

For the calculated total energy, the calculation gives -1.969 eV per atom.

---

Entry 4:
Zn3InAg8: relaxed, GGA-PBE.

a = 7.2076 Å, b = 7.2076 Å, c = 5.4605 Å
α = 90.00°, β = 90.00°, γ = 120.00°
Closest atoms and distances in Å follow each position.
Space group P-31m (No. 162)
One atom of each set of equivalent atoms:
Zn 0.0000 0.0000 0.0000 (multiplicity 1)  6 Ag 2.69, 2 In 2.73
Zn 0.3333 0.6667 0.0000 (multiplicity 2)  8 Ag 2.64-2.73
In 0.0000 0.0000 0.5000 (multiplicity 1)  2 Zn 2.73, 6 Ag 2.91
Ag 0.0000 0.3382 0.2080 (multiplicity 6)  3 Zn 2.64-2.69, 2 Ag 2.87, 1 In 2.91
Ag 0.3333 0.6667 0.5000 (multiplicity 2)  2 Zn 2.73, 6 Ag 2.87

For the calculated total energy, the calculation gives -2.257 eV per atom.

---

Entry 5:
Zn3InAg4: relaxed, GGA-PBE.

a = 18.9680 Å, b = 3.2286 Å, c = 4.7150 Å
α = 90.00°, β = 103.73°, γ = 90.00°
Closest atoms and distances in Å follow each position.
Space group C2/m (No. 12)
One atom of each set of equivalent atoms:
Zn 0.0000 0.0000 0.0000 (multiplicity 2)  4 Ag 2.71, 4 In 2.86
Zn 0.2383 0.0000 0.2400 (multiplicity 4)  6 Ag 2.72-2.95, 4 Zn 2.88-2.90
In 0.0000 0.5000 0.5000 (multiplicity 2)  4 Zn 2.86, 6 Ag 3.09-3.16
Ag 0.1182 0.5000 0.1284 (multiplicity 4)  4 Zn 2.71-2.74, 4 Ag 2.89-2.90
Ag 0.1431 0.0000 0.6526 (multiplicity 4)  4 Zn 2.72-2.95, 4 Ag 2.89-2.90

For the calculated total energy, the calculation gives -2.234 eV per atom.

---

Entry 6:
Zn4InAg7: relaxed, GGA-PBE.

a = 10.5400 Å, b = 5.1120 Å, c = 9.7940 Å
α = 90.00°, β = 119.89°, γ = 90.00°
Closest atoms and distances in Å follow each position.
Space group C2/m (No. 12)
One atom of each set of equivalent atoms:
Zn 0.0745 0.0000 0.2693 (multiplicity 4)  8 Ag 2.68-2.92, 1 Zn 2.80
Zn 0.2220 0.0000 0.8164 (multiplicity 4)  6 Ag 2.66-2.87, 1 Zn 2.80
In 0.0000 0.5000 0.5000 (multiplicity 2)  4 Ag 2.56-2.75
Ag 0.0000 0.0000 0.5000 (multiplicity 2)  2 In 2.56, 2 Ag 2.73, 4 Zn 2.74-2.80
Ag 0.0464 0.5000 0.8819 (multiplicity 4)  3 Zn 2.74-2.91, 5 Ag 2.79-2.94
Ag 0.1543 0.0000 0.0490 (multiplicity 4)  5 Zn 2.68-2.87, 4 Ag 2.88-2.94
Ag 0.2095 0.5000 0.4104 (multiplicity 4)  4 Zn 2.66-2.92, 2 Ag 2.73-2.79, 1 In 2.75

For the calculated total energy, the calculation gives -2.184 eV per atom.

---

Entry 7:
Zn2In2Ag5: relaxed, GGA-PBE.

a = 5.0979 Å, b = 5.2023 Å, c = 7.6564 Å
α = 92.45°, β = 106.11°, γ = 118.86°
Closest atoms and distances in Å follow each position.
Space group P-1 (No. 2)
One atom of each set of equivalent atoms:
Zn 0.2200 0.4265 0.3485 (multiplicity 2)  8 Ag 2.77-3.03, 1 Zn 2.86, 1 In 3.01
In 0.3352 0.6706 0.0099 (multiplicity 2)  7 Ag 2.94-3.04, 3 In 2.95-3.04, 2 Zn 3.01-3.16
Ag 0.0000 0.0000 0.0000 (multiplicity 1)  6 In 2.94-3.04, 4 Ag 2.95-3.07, 2 Zn 2.96
Ag 0.1090 0.2234 0.6636 (multiplicity 2)  4 Zn 2.77-3.03, 6 Ag 2.89-3.03, 2 In 2.99-3.00
Ag 0.4359 0.8691 0.6558 (multiplicity 2)  3 Zn 2.78-2.92, 6 Ag 2.87-3.07, 2 In 2.96-3.03

For the calculated total energy, the calculation gives -2.452 eV per atom. For the energy above the most stable polymorph in this dataset, the calculation gives 0.000 eV per atom.

---

Entry 8:
Zn2InAg: relaxed, GGA-PBE.

a = 3.0353 Å, b = 3.8452 Å, c = 6.3168 Å
α = 90.00°, β = 90.00°, γ = 90.00°
Closest atoms and distances in Å follow each position.
Space group Pmm2 (No. 25)
One atom of each set of equivalent atoms:
Zn 0.0000 0.0000 0.0000 (multiplicity 1)  1 Ag 2.75, 6 Zn 2.78-3.04, 4 In 3.01
Zn 0.5000 0.5000 0.2071 (multiplicity 1)  6 Zn 2.78-3.04, 4 Ag 2.84, 1 In 3.07
In 0.5000 0.5000 0.7218 (multiplicity 1)  6 Zn 3.01-3.25, 2 In 3.04, 4 Ag 3.05
Ag 0.0000 0.0000 0.4346 (multiplicity 1)  5 Zn 2.75-2.84, 2 Ag 3.04, 4 In 3.05

For the calculated total energy, the calculation gives -1.979 eV per atom.

---

Question: Number 8 is which compound?
Answer: Zn2InAg

---

Please write out number 7 again, unchanged.
Zn2In2Ag5: relaxed, GGA-PBE.

a = 5.0979 Å, b = 5.2023 Å, c = 7.6564 Å
α = 92.45°, β = 106.11°, γ = 118.86°
Closest atoms and distances in Å follow each position.
Space group P-1 (No. 2)
One atom of each set of equivalent atoms:
Zn 0.2200 0.4265 0.3485 (multiplicity 2)  8 Ag 2.77-3.03, 1 Zn 2.86, 1 In 3.01
In 0.3352 0.6706 0.0099 (multiplicity 2)  7 Ag 2.94-3.04, 3 In 2.95-3.04, 2 Zn 3.01-3.16
Ag 0.0000 0.0000 0.0000 (multiplicity 1)  6 In 2.94-3.04, 4 Ag 2.95-3.07, 2 Zn 2.96
Ag 0.1090 0.2234 0.6636 (multiplicity 2)  4 Zn 2.77-3.03, 6 Ag 2.89-3.03, 2 In 2.99-3.00
Ag 0.4359 0.8691 0.6558 (multiplicity 2)  3 Zn 2.78-2.92, 6 Ag 2.87-3.07, 2 In 2.96-3.03

For the calculated total energy, the calculation gives -2.452 eV per atom. For the energy above the most stable polymorph in this dataset, the calculation gives 0.000 eV per atom.